No. 1
# Ba2TaTl, relaxed, DFT PBE
# - offset from the most stable computed form (meV/atom) = 192
# - size of the total moment (μB/cell) = 11.11
# - ΔE_f (eV per atom) = 0.731
# - energy (eV/atom) = -3.785
data_Ba2TaTl
_chemical_formula_sum 'Ba8 Ta4 Tl4'
_cell_length_a 8.328
_cell_length_b 8.328
_cell_length_c 8.328
_cell_angle_alpha 90.00
_cell_angle_beta 90.00
_cell_angle_gamma 90.00
_symmetry_space_group_name_H-M 'F m -3 m'
_symmetry_Int_Tables_number 225
_symmetry_space_group_name_Hall '-F 4 2 3'
loop_
_atom_site_label
_atom_site_type_symbol
_atom_site_fract_x
_atom_site_fract_y
_atom_site_fract_z
Ba1 Ba 0.250 0.250 0.250
Ta1 Ta 0.000 0.000 0.000
Tl1 Tl 0.000 0.000 0.500

No. 2
# Ta2AsBr, relaxed, DFT PBE
# - offset from the most stable computed form (meV/atom) = 43
# - size of the total moment (μB/cell) = 0.00
# - uncorrected formation energy (eV/atom) = -0.100
# - energy (eV/atom) = -7.607
data_Ta2AsBr
_chemical_formula_sum 'Ta2 As1 Br1'
_cell_length_a 3.347
_cell_length_b 3.347
_cell_length_c 7.847
_cell_angle_alpha 90.00
_cell_angle_beta 90.00
_cell_angle_gamma 90.00
_symmetry_space_group_name_H-M 'P 4 m m'
_symmetry_Int_Tables_number 99
_symmetry_space_group_name_Hall 'P 4 -2'
loop_
_atom_site_label
_atom_site_type_symbol
_atom_site_fract_x
_atom_site_fract_y
_atom_site_fract_z
Ta1 Ta 0.000 0.000 0.000
Ta2 Ta 0.500 0.500 0.213
As1 As 0.000 0.000 0.358
Br1 Br 0.500 0.500 0.755